# 1
First-principles (GGA-PBE) data for a relaxed KDySiTe3 crystal, as listed in the Open Quantum Materials Database.

## Properties
Its electronic total energy is -4.150 eV per atom.

Cell lengths 7.9079, 7.9079, 11.9356 Å; angles 90.00, 90.00, 145.04 degrees
With the nearest neighbours (Å) after each atom.
Sites, in units of the cell vectors:
Dy1 0.0000 0.0000 0.0000  6 Te 3.12-3.15
Dy2 0.0000 0.0000 0.5000  6 Te 3.12-3.15
K1 0.7517 0.2483 0.2500  8 Te 3.73-4.07, 2 Si 4.03
K2 0.2483 0.7517 0.7500  8 Te 3.73-4.07, 2 Si 4.03
Si1 0.4674 0.5326 0.2500  4 Te 2.76
Si2 0.5326 0.4674 0.7500  4 Te 2.76
Te1 0.3696 0.6304 0.0542  1 Si 2.76
Te2 0.0607 0.9393 0.2500  2 Si 2.76
Te3 0.3696 0.6304 0.4458  1 Si 2.76
Te4 0.6304 0.3696 0.5542  1 Si 2.76
Te5 0.9393 0.0607 0.7500  2 Si 2.76
Te6 0.6304 0.3696 0.9458  1 Si 2.76

# 2
First-principles (GGA-PBE) data for a relaxed PrSiH2O4 crystal, as listed in the Open Quantum Materials Database.

## Properties
Its electronic total energy is -6.625 eV per atom. The distance to the lowest polymorph of the same formula comes out at 0.0 meV per atom.

Cell lengths 5.9335, 5.9335, 6.3105 Å; angles 106.57, 106.57, 113.17 degrees
With the nearest neighbours (Å) after each atom.
Sites, in units of the cell vectors:
H1 0.3676 0.9586 0.0635  1 O 1.06
H2 0.0541 0.1452 0.4365  1 O 1.06
H3 0.7086 0.6176 0.5635  1 O 1.06
H4 0.8952 0.3041 0.9365  1 O 1.06
O1 0.0620 0.3165 0.0683  1 H 1.06
O2 0.0092 0.9145 0.2278  1 H 1.47, 1 Si 1.63
O3 0.5314 0.9367 0.2722  1 H 1.47, 1 Si 1.63
O4 0.7437 0.4983 0.4317  1 H 1.06
O5 0.0665 0.3120 0.5683  1 H 1.06
O6 0.6645 0.2592 0.7278  1 H 1.47, 1 Si 1.63
O7 0.6867 0.7814 0.7722  1 H 1.47, 1 Si 1.63
O8 0.2483 0.9937 0.9317  1 H 1.06
Pr1 0.5113 0.5113 0.0000  8 O 2.55-2.72
Pr2 0.2613 0.7613 0.5000  8 O 2.55-2.72
Si1 0.9945 0.9945 0.0000  4 O 1.63-1.68
Si2 0.7445 0.2445 0.5000  4 O 1.63-1.68

# 3
First-principles (GGA-PBE) data for a relaxed TbSi2AgAu crystal, as listed in the Open Quantum Materials Database.

## Properties
Its electronic total energy is -4.813 eV per atom.

Cell lengths 6.0315, 6.0315, 6.0315 Å; angles 139.26, 139.26, 58.98 degrees
With the nearest neighbours (Å) after each atom.
Sites, in units of the cell vectors:
Ag1 0.0000 0.0000 0.0000  4 Si 2.57
Au1 0.5000 0.5000 0.0000  4 Si 2.57
Si1 0.6410 0.1410 0.5000  1 Si 2.29
Si2 0.8590 0.3590 0.5000  1 Si 2.29
Tb1 0.2500 0.7500 0.5000  8 Si 3.18, 4 Au 3.36, 4 Ag 3.36

# 4
First-principles (GGA-PBE) data for a relaxed HoBAs crystal, as listed in the Open Quantum Materials Database.

## Properties
Its electronic total energy is -5.189 eV per atom.

Cell lengths 4.2733, 4.2733, 4.2733 Å; angles 60.00, 60.00, 60.00 degrees
With the nearest neighbours (Å) after each atom.
Sites, in units of the cell vectors:
As1 0.2500 0.2500 0.2500  4 B 2.62
B1 0.0000 0.0000 0.0000  4 Ho 2.62, 4 As 2.62
Ho1 0.7500 0.7500 0.7500  4 B 2.62

# 5
First-principles (GGA-PBE) data for a relaxed Rb2Np2S5 crystal, as listed in the Open Quantum Materials Database.

## Properties
Its electronic total energy is -6.692 eV per atom.

Cell lengths 8.9021, 8.9021, 7.5825 Å; angles 90.00, 90.00, 50.38 degrees
With the nearest neighbours (Å) after each atom.
Sites, in units of the cell vectors:
Np1 0.3362 0.6638 0.1638  8 S 2.67-2.89
Np2 0.8362 0.1638 0.3362  8 S 2.67-2.89
Np3 0.1638 0.8362 0.6638  8 S 2.67-2.89
Np4 0.6638 0.3362 0.8362  8 S 2.67-2.89
Rb1 0.2065 0.2065 0.0000  7 S 3.33-3.40
Rb2 0.7935 0.7935 0.0000  7 S 3.33-3.40
Rb3 0.2935 0.2935 0.5000  7 S 3.33-3.40
Rb4 0.7065 0.7065 0.5000  7 S 3.33-3.40
S1 0.0000 0.0000 0.0000  4 Np 2.83-2.84
S2 0.5385 0.2506 0.1438  3 Np 2.67-2.89
S3 0.7494 0.4615 0.1438  3 Np 2.67-2.89
S4 0.0385 0.7506 0.3562  3 Np 2.67-2.89
S5 0.2494 0.9615 0.3562  3 Np 2.67-2.89
S6 0.5000 0.5000 0.5000  4 Np 2.83-2.84
S7 0.7506 0.0385 0.6438  3 Np 2.67-2.89
S8 0.9615 0.2494 0.6438  3 Np 2.67-2.89
S9 0.2506 0.5385 0.8562  3 Np 2.67-2.89
S10 0.4615 0.7494 0.8562  3 Np 2.67-2.89

# 6
First-principles (GGA-PBE) data for a relaxed Zr2ScAl3CoCu2 crystal, as listed in the Open Quantum Materials Database.

## Properties
Its electronic total energy is -5.945 eV per atom.

Cell lengths 4.0193, 6.4713, 6.4713 Å; angles 119.16, 90.00, 90.00 degrees
With the nearest neighbours (Å) after each atom.
Sites, in units of the cell vectors:
Al1 0.5000 0.9988 0.2411  2 Cu 2.51-2.54, 2 Co 2.54, 2 Al 2.70-2.71
Al2 0.5000 0.7616 0.7616  2 Cu 2.52, 2 Co 2.55, 2 Al 2.71
Al3 0.5000 0.2411 0.9988  2 Cu 2.51-2.54, 2 Co 2.54, 2 Al 2.70-2.71
Co1 0.0000 0.0010 0.0010  6 Al 2.54-2.55, 2 Zr 2.63, 1 Sc 2.66
Cu1 0.5000 0.6651 0.3349  3 Al 2.51-2.54, 2 Sc 2.79
Cu2 0.5000 0.3349 0.6651  3 Al 2.51-2.54, 2 Sc 2.79
Sc1 0.0000 0.4066 0.4066  1 Co 2.66, 4 Cu 2.79
Zr1 0.0000 0.9982 0.5926  1 Co 2.63, 4 Cu 2.82-2.83
Zr2 0.0000 0.5926 0.9982  1 Co 2.63, 4 Cu 2.82-2.83

# 7
First-principles (GGA-PBE) data for a relaxed Cs2TcOsSe6 crystal, as listed in the Open Quantum Materials Database.

## Properties
Its electronic total energy is -4.500 eV per atom.

Cell lengths 7.1727, 7.1727, 7.1727 Å; angles 60.00, 60.00, 60.00 degrees
With the nearest neighbours (Å) after each atom.
Sites, in units of the cell vectors:
Cs1 0.2500 0.2500 0.2500  12 Se 3.59
Cs2 0.7500 0.7500 0.7500  12 Se 3.59
Os1 0.0000 0.0000 0.0000  6 Se 2.53
Se1 0.7509 0.2491 0.2491  1 Os 2.53, 1 Tc 2.55
Se2 0.2491 0.7509 0.2491  1 Os 2.53, 1 Tc 2.55
Se3 0.7509 0.7509 0.2491  1 Os 2.53, 1 Tc 2.55
Se4 0.7509 0.2491 0.7509  1 Os 2.53, 1 Tc 2.55
Se5 0.2491 0.7509 0.7509  1 Os 2.53, 1 Tc 2.55
Se6 0.2491 0.2491 0.7509  1 Os 2.53, 1 Tc 2.55
Tc1 0.5000 0.5000 0.5000  6 Se 2.55

# 8
First-principles (GGA-PBE) data for a relaxed GaCoReAu crystal, as listed in the Open Quantum Materials Database.

## Properties
Its electronic total energy is -6.024 eV per atom. The distance to the lowest polymorph of the same formula comes out at 0.0 meV per atom.

Cell lengths 4.3575, 4.3575, 4.3575 Å; angles 60.00, 60.00, 60.00 degrees
With the nearest neighbours (Å) after each atom.
Sites, in units of the cell vectors:
Au1 0.5000 0.5000 0.5000  4 Re 2.67, 4 Co 2.67
Co1 0.7500 0.7500 0.7500  4 Au 2.67, 4 Ga 2.67
Ga1 0.0000 0.0000 0.0000  4 Re 2.67, 4 Co 2.67
Re1 0.2500 0.2500 0.2500  4 Au 2.67, 4 Ga 2.67

# 9
First-principles (GGA-PBE) data for a relaxed Hf2CoPt crystal, as listed in the Open Quantum Materials Database.

## Properties
Its electronic total energy is -8.627 eV per atom. As for the formation enthalpy at 0 K: -0.359 eV per atom.

Cell lengths 4.5089, 4.5089, 4.5089 Å; angles 60.00, 60.00, 60.00 degrees
With the nearest neighbours (Å) after each atom.
Sites, in units of the cell vectors:
Co1 0.2500 0.2500 0.2500  4 Pt 2.76, 4 Hf 2.76
Hf1 0.0000 0.0000 0.0000  4 Hf 2.76, 4 Co 2.76
Hf2 0.7500 0.7500 0.7500  4 Hf 2.76, 4 Pt 2.76
Pt1 0.5000 0.5000 0.5000  4 Co 2.76, 4 Hf 2.76

# 10
First-principles (GGA-PBE) data for a relaxed Tb6GeIr2 crystal, as listed in the Open Quantum Materials Database.

## Properties
Its electronic total energy is -6.128 eV per atom.

Cell lengths 7.5975, 7.5975, 4.5339 Å; angles 90.00, 90.00, 120.00 degrees
With the nearest neighbours (Å) after each atom.
Sites, in units of the cell vectors:
Ge1 0.0000 0.0000 0.0000  9 Tb 3.04-3.12
Ir1 0.6667 0.3333 0.5000  3 Tb 2.82
Ir2 0.3333 0.6667 0.5000  3 Tb 2.82
Tb1 0.4100 0.0000 0.0000  1 Ge 3.12, 4 Ir 3.23, 2 Tb 3.35
Tb2 0.0000 0.4100 0.0000  1 Ge 3.12, 4 Ir 3.23, 2 Tb 3.35
Tb3 0.5900 0.5900 0.0000  1 Ge 3.12, 4 Ir 3.23, 2 Tb 3.35
Tb4 0.7340 0.0000 0.5000  2 Ir 2.82, 2 Ge 3.04
Tb5 0.2660 0.2660 0.5000  2 Ir 2.82, 2 Ge 3.04
Tb6 0.0000 0.7340 0.5000  2 Ir 2.82, 2 Ge 3.04